# Lu2Ni3Sn2Pt | the Open Quantum Materials Database | PBE | relaxed
data_Lu2Ni3Sn2Pt
_cell_length_a 4.3854
_cell_length_b 4.3854
_cell_length_c 8.5737
_cell_angle_alpha 90.00
_cell_angle_beta 90.00
_cell_angle_gamma 120.00
_space_group_name_H-M_alt 'P 3 m 1'
_space_group_IT_number 156
_space_group_name_Hall 'P 3 -2"'
loop_
_atom_site_label
_atom_site_fract_x
_atom_site_fract_y
_atom_site_fract_z
Lu1 0.0000 0.0000 0.0000
Lu2 0.3333 0.6667 0.5084
Ni1 0.0000 0.0000 0.6755
Ni2 0.3333 0.6667 0.1605
Ni3 0.3333 0.6667 0.8402
Sn1 0.6667 0.3333 0.2360
Sn2 0.6667 0.3333 0.7589
Pt1 0.0000 0.0000 0.3511
# E_tot, Ry per atom: -0.416


# GdAlSi | the Open Quantum Materials Database | PBE | relaxed
data_GdAlSi
_cell_length_a 4.1342
_cell_length_b 4.1342
_cell_length_c 14.4654
_cell_angle_alpha 90.00
_cell_angle_beta 90.00
_cell_angle_gamma 90.00
_space_group_name_H-M_alt 'I 41 m d'
_space_group_IT_number 109
_space_group_name_Hall 'I 4bw -2'
loop_
_atom_site_label
_atom_site_fract_x
_atom_site_fract_y
_atom_site_fract_z
Gd1 0.0000 0.0000 0.0000
Al1 0.0000 0.0000 0.4163
Si1 0.0000 0.0000 0.5817
# E_tot, Ry per atom: -0.386


# BeNi2Pb | the Open Quantum Materials Database | PBE | relaxed
data_BeNi2Pb
_cell_length_a 5.9875
_cell_length_b 5.9875
_cell_length_c 5.9875
_cell_angle_alpha 90.00
_cell_angle_beta 90.00
_cell_angle_gamma 90.00
_space_group_name_H-M_alt 'F -4 3 m'
_space_group_IT_number 216
_space_group_name_Hall 'F -4 2 3'
loop_
_atom_site_label
_atom_site_fract_x
_atom_site_fract_y
_atom_site_fract_z
Be1 0.0000 0.0000 0.0000
Ni1 0.0000 0.0000 0.5000
Ni2 0.2500 0.2500 0.2500
Pb1 0.2500 0.2500 0.7500
# E_tot, Ry per atom: -0.319


# Tm4CoTe2 | the Open Quantum Materials Database | PBE | relaxed
data_Tm4CoTe2
_cell_length_a 7.7947
_cell_length_b 12.0757
_cell_length_c 4.0749
_cell_angle_alpha 90.00
_cell_angle_beta 90.00
_cell_angle_gamma 90.00
_space_group_name_H-M_alt 'P b a m'
_space_group_IT_number 55
_space_group_name_Hall '-P 2 2ab'
loop_
_atom_site_label
_atom_site_fract_x
_atom_site_fract_y
_atom_site_fract_z
Tm1 0.1352 0.1915 0.0000
Tm2 0.1941 0.9438 0.5000
Co1 0.0000 0.0000 0.0000
Te1 0.0662 0.6643 0.5000
# E_tot, Ry per atom: -0.388


# Hg2MoPd | the Open Quantum Materials Database | PBE | relaxed
data_Hg2MoPd
_cell_length_a 6.6484
_cell_length_b 6.6484
_cell_length_c 6.6484
_cell_angle_alpha 90.00
_cell_angle_beta 90.00
_cell_angle_gamma 90.00
_space_group_name_H-M_alt 'F -4 3 m'
_space_group_IT_number 216
_space_group_name_Hall 'F -4 2 3'
loop_
_atom_site_label
_atom_site_fract_x
_atom_site_fract_y
_atom_site_fract_z
Hg1 0.0000 0.0000 0.0000
Hg2 0.2500 0.2500 0.2500
Mo1 0.2500 0.2500 0.7500
Pd1 0.0000 0.0000 0.5000
# E_tot, Ry per atom: -0.267
# Formation enthalpy at 0 K, eV/atom: 0.516


# Ho2Tm3ScCuTe2 | the Open Quantum Materials Database | PBE | relaxed
data_Ho2Tm3ScCuTe2
_cell_length_a 3.8660
_cell_length_b 14.2902
_cell_length_c 8.2508
_cell_angle_alpha 90.00
_cell_angle_beta 90.00
_cell_angle_gamma 90.00
_space_group_name_H-M_alt 'A m m 2'
_space_group_IT_number 38
_space_group_name_Hall 'A 2 -2'
loop_
_atom_site_label
_atom_site_fract_x
_atom_site_fract_y
_atom_site_fract_z
Ho1 0.0000 0.2013 0.0000
Tm1 0.5000 0.0000 0.0452
Tm2 0.5000 0.1202 0.6739
Sc1 0.0000 0.0000 0.3976
Cu1 0.0000 0.0000 0.7971
Te1 0.5000 0.1637 0.3003
# E_tot, Ry per atom: -0.363